Entry 1:
Rb2NaPdF6 PBE relaxed; raw formation energy = -22.43 eV/f.u.; SG = Fm-3m
1.0
0.000 4.360 4.360
4.360 0.000 4.360
4.360 4.360 0.000
Rb Na Pd F
2 1 1 6
Cartesian
2.180 2.180 2.180
6.540 6.540 6.540
0.000 0.000 0.000
4.360 4.360 4.360
4.360 4.360 2.296
4.360 2.296 4.360
6.425 4.360 4.360
2.296 4.360 4.360
4.360 6.425 4.360
4.360 4.360 6.425

Entry 2:
HoMg2Rh PBE relaxed; SG = Pnma
1.0
15.105 0.000 0.000
0.000 8.420 0.000
0.000 0.000 5.376
Ho Mg Rh
8 16 8
Cartesian
1.589 2.105 1.328
2.063 6.315 0.207
5.490 2.105 2.895
5.963 6.315 4.016
9.141 2.105 1.360
9.615 6.315 2.480
13.042 2.105 5.168
13.516 6.315 4.048
0.613 0.460 3.971
0.613 3.750 3.971
3.208 4.682 2.851
3.208 7.948 2.851
4.344 0.472 0.164
4.344 3.738 0.164
6.939 4.670 1.283
6.939 7.960 1.283
8.165 0.460 4.093
8.165 3.750 4.093
10.761 4.682 5.212
10.761 7.948 5.212
11.897 0.472 2.524
11.897 3.738 2.524
14.492 4.670 1.405
14.492 7.960 1.405
1.012 6.315 2.904
2.851 2.105 3.918
4.702 6.315 1.230
6.540 2.105 0.216
8.564 6.315 5.160
10.403 2.105 4.145
12.254 6.315 1.458
14.093 2.105 2.472

Entry 3:
RbBaTlS3 PBE relaxed; raw formation energy = -5.89 eV/f.u.; SG = C2/m
1.0
8.436 -2.708 0.000
8.436 2.708 0.000
-2.263 0.000 8.659
Rb Ba Tl S
2 2 2 6
Cartesian
2.338 0.000 0.587
12.271 0.000 8.072
1.189 0.000 4.979
13.419 0.000 3.680
6.693 0.000 6.367
7.916 0.000 2.293
-0.563 0.000 2.351
4.283 0.000 5.649
5.484 0.000 1.745
9.124 0.000 6.914
10.326 0.000 3.010
15.172 0.000 6.309

Entry 4:
NbTlRe2 PBE relaxed; relative energy among the computed polymorphs = 0.000 eV/atom; SG = Fm-3m
1.0
0.000 3.262 3.262
3.262 0.000 3.262
3.262 3.262 0.000
Nb Tl Re
1 1 2
Cartesian
0.000 0.000 0.000
3.262 3.262 3.262
1.631 1.631 1.631
4.893 4.893 4.893

Entry 5:
Tb8DyBi6 PBE relaxed; SG = R-3
1.0
3.838 2.216 9.846
-3.838 2.216 9.846
0.000 -4.432 9.846
Tb Dy Bi
8 1 6
Cartesian
-2.565 -0.001 11.195
0.000 0.000 4.924
-1.281 -2.222 18.343
1.283 -2.220 11.195
-1.283 2.220 18.343
1.281 2.222 11.195
0.000 0.000 24.615
2.565 0.001 18.343
0.000 0.000 14.769
-1.276 -2.211 12.934
-2.553 -0.001 16.604
-1.277 2.210 12.934
1.277 -2.210 16.604
2.553 0.001 12.934
1.276 2.211 16.604

Entry 6:
ThSe6Br12 PBE relaxed; raw formation energy = -8.07 eV/f.u.; SG = R-3
1.0
6.219 3.591 5.338
-6.219 3.591 5.338
0.000 -7.181 5.338
Th Se Br
1 6 12
Cartesian
0.000 0.000 0.000
-1.202 -0.818 4.531
-0.107 1.450 4.531
1.309 -0.632 4.531
-1.309 0.632 11.483
0.107 -1.450 11.483
1.202 0.818 11.483
-5.235 -1.513 8.974
-1.308 -5.290 7.041
-2.666 -0.343 6.449
-3.928 3.778 7.041
-1.036 -2.480 9.565
1.630 -2.137 6.449
-1.630 2.137 9.565
1.036 2.480 6.449
3.928 -3.778 8.974
2.666 0.343 9.565
1.308 5.290 8.974
5.235 1.513 7.041

Entry 7:
NaTcPt PBE relaxed; relative energy among the computed polymorphs = 0.042 eV/atom; SG = P2_1/m
1.0
2.765 0.000 0.000
0.000 4.400 0.000
-1.293 0.000 8.612
Na Tc Pt
2 2 2
Cartesian
0.022 1.100 3.475
1.450 3.300 5.137
-0.001 1.100 0.555
1.473 3.300 8.057
0.089 1.100 6.831
1.383 3.300 1.781

Entry 8:
CaThNi3 PBE relaxed; SG = Cmcm
1.0
1.994 -12.216 0.000
1.994 12.216 0.000
0.000 0.000 4.034
Ca Th Ni
2 2 6
Cartesian
1.994 10.578 3.025
1.994 -10.578 1.008
1.994 7.391 1.008
1.994 -7.391 3.025
1.994 4.387 1.008
1.994 2.906 3.025
1.994 0.570 3.025
1.994 -0.570 1.008
1.994 -2.906 1.008
1.994 -4.387 3.025

Entry 9:
BiSbAs2Br PBE relaxed; relative energy among the computed polymorphs = 0.000 eV/atom; raw formation energy = 2.86 eV/f.u.; SG = P4/mmm
1.0
5.378 0.000 0.000
0.000 5.378 0.000
0.000 0.000 5.298
Bi Sb As Br
1 1 2 1
Cartesian
0.000 0.000 0.000
2.689 2.689 2.649
0.000 2.689 2.649
2.689 0.000 2.649
2.689 2.689 0.000

Entry 10:
Ce5Ho PBE relaxed; SG = Cmmm
1.0
2.379 -7.219 0.000
2.379 7.219 0.000
0.000 0.000 4.773
Ce Ho
5 1
Cartesian
0.000 0.000 0.000
2.379 4.750 2.387
2.379 2.421 0.000
2.379 -2.421 0.000
2.379 -4.750 2.387
2.379 0.000 2.387

Entry 11:
ZnSe2Cl PBE relaxed; relative energy among the computed polymorphs = 0.486 eV/atom; raw formation energy = 0.42 eV/f.u.; SG = Cmmm
1.0
2.451 -6.749 0.000
2.451 6.749 0.000
0.000 0.000 3.036
Zn Se Cl
1 2 1
Cartesian
0.000 0.000 0.000
1.226 3.374 1.518
1.226 -3.374 1.518
2.451 0.000 0.000

Entry 12:
Zn2SbRh PBE relaxed; raw formation energy = 0.38 eV/f.u.; SG = I-42d
1.0
-3.825 3.825 2.575
3.825 -3.825 2.575
3.825 3.825 -2.575
Zn Sb Rh
4 2 2
Cartesian
5.738 1.628 -0.644
1.628 1.913 0.644
-1.913 2.197 1.931
2.197 1.913 3.218
3.825 0.000 1.287
0.000 0.000 2.575
0.000 0.000 0.000
0.000 3.825 1.287

Entry 13:
Li2GeH PBE relaxed; relative energy among the computed polymorphs = 0.539 eV/atom; SG = Fm-3m
1.0
0.000 3.003 3.003
3.003 0.000 3.003
3.003 3.003 0.000
Li Ge H
2 1 1
Cartesian
1.502 1.502 1.502
4.505 4.505 4.505
0.000 0.000 0.000
3.003 3.003 3.003

Entry 14:
KCu2Bi2O6 PBE relaxed; raw formation energy = -9.91 eV/f.u.; SG = P-1
1.0
6.227 0.000 0.000
3.106 5.597 0.000
2.600 2.024 5.540
K Cu Bi O
1 2 2 6
Cartesian
0.000 0.000 0.000
5.385 5.096 2.946
6.548 2.525 2.594
3.138 1.871 0.277
8.795 5.751 5.263
4.190 4.394 4.226
5.480 5.434 1.142
6.680 5.370 4.335
5.253 2.251 1.205
6.453 2.188 4.398
7.743 3.227 1.313

Entry 15:
Tb6DyCd2 PBE relaxed; relative energy among the computed polymorphs = 0.000 eV/atom; SG = C2/m
1.0
6.313 -1.875 0.000
6.313 1.875 0.000
-3.810 0.000 11.269
Tb Dy Cd
6 1 2
Cartesian
-1.091 0.000 3.824
2.355 0.000 4.677
3.505 0.000 1.387
5.310 0.000 9.882
6.460 0.000 6.592
9.906 0.000 7.444
0.000 0.000 0.000
1.458 0.000 8.939
7.357 0.000 2.330

Entry 16:
Ca2ZrP2 PBE relaxed; relative energy among the computed polymorphs = 0.635 eV/atom; SG = P4/mbm
1.0
7.912 0.000 0.000
0.000 7.912 0.000
0.000 0.000 3.464
Ca Zr P
4 2 4
Cartesian
0.990 2.966 0.000
2.966 6.922 0.000
4.946 0.990 0.000
6.922 4.946 0.000
0.000 0.000 0.000
3.956 3.956 0.000
1.416 5.372 1.732
2.540 1.416 1.732
5.372 6.496 1.732
6.496 2.540 1.732

Entry 17:
La3CdSn6Pd2 PBE relaxed; SG = P-3m1
1.0
6.394 0.000 0.000
-3.197 5.538 0.000
0.000 0.000 9.613
La Cd Sn Pd
3 1 6 2
Cartesian
0.000 0.000 0.000
0.000 3.692 5.641
3.197 1.846 3.972
0.000 0.000 4.807
0.000 1.959 2.567
-1.501 4.558 2.567
1.696 0.979 7.046
1.501 4.558 2.567
4.698 0.979 7.046
3.197 3.579 7.046
0.000 3.692 0.399
3.197 1.846 9.214

Entry 18:
BaAuNF2 PBE relaxed; relative energy among the computed polymorphs = 0.000 eV/atom; raw formation energy = -5.74 eV/f.u.; SG = P4/mmm
1.0
4.896 0.000 0.000
0.000 4.896 0.000
0.000 0.000 3.845
Ba Au N F
1 1 1 2
Cartesian
0.000 0.000 0.000
2.448 2.448 1.922
2.448 2.448 0.000
0.000 2.448 1.922
2.448 0.000 1.922

no.,final energy (eV per cell)
1,-42.10
2,-136.47
3,-47.06
4,-34.84
5,-72.90
6,-56.47
7,-34.91
8,-56.06
9,-16.12
10,-33.83
11,-9.67
12,-27.29
13,-10.65
14,-56.71
15,-35.39
16,-49.92
17,-54.35
18,-23.01